[1]
Below is an optimized crystal structure of Sn3BiW, with properties calculated at the GGA-PBEsol level.

Values from the calculation:
Magnetization: 0.01 μB/f.u.
SG: Pm-3m (221)
DOS(E_F): 5.7 states/eV per cell
Offset from the most stable computed form: 0.0000 eV per atom
Energy of formation: 0.62 eV per atom
Theoretical density: 8.6 Mg/m³

a = 5.2514 Å, b = 5.2514 Å, c = 5.2514 Å
α = 90.00°, β = 90.00°, γ = 90.00°
Closest atoms and distances in Å follow each position.
Fractional positions:
Bi  0.5000  0.5000  0.5000  12 Sn 3.71
W  0.0000  0.0000  0.0000  6 Sn 2.63
Sn  0.0000  0.5000  0.0000  2 W 2.63
Sn  0.0000  0.0000  0.5000  2 W 2.63
Sn  0.5000  0.0000  0.0000  2 W 2.63

---

[2]
Below is an optimized crystal structure of K2Na2Nd4Nb2O13, with properties calculated at the GGA-PBEsol level.

Values from the calculation:
Magnetization: 0.00 μB/f.u.
SG: C2/c (15)
DOS(E_F): 0.0 states/eV per cell
Raw formation energy: -2796.6 meV/atom
Theoretical density: 5.2 Mg/m³

a = 5.7005 Å, b = 11.3062 Å, c = 12.5108 Å
α = 115.78°, β = 103.17°, γ = 90.00°
Closest atoms and distances in Å follow each position.
Fractional positions:
K  0.7995  0.6321  0.4978  7 O 2.81-3.14
K  0.3017  0.8679  0.5022  7 O 2.81-3.14
K  0.2005  0.3679  0.5022  7 O 2.81-3.14
K  0.6983  0.1321  0.4978  7 O 2.81-3.14
Na  0.8776  0.9765  0.6816  5 O 2.28-2.31
Na  0.1959  0.5235  0.3184  5 O 2.28-2.31
Na  0.1224  0.0235  0.3184  5 O 2.28-2.31
Na  0.8041  0.4765  0.6816  5 O 2.28-2.31
Nd  0.6098  0.4500  0.1274  7 O 2.39-2.46
Nd  0.4824  0.0500  0.8726  7 O 2.39-2.46
Nd  0.3902  0.5500  0.8726  7 O 2.39-2.46
Nd  0.5176  0.9500  0.1274  7 O 2.39-2.46
Nd  0.9740  0.8258  0.8726  7 O 2.38-2.56
Nd  0.1014  0.6742  0.1274  7 O 2.38-2.56
Nd  0.0260  0.1742  0.1274  7 O 2.38-2.56
Nd  0.8986  0.3258  0.8726  7 O 2.38-2.56
Nb  0.6850  0.7834  0.3043  5 O 1.85-2.00
Nb  0.3807  0.7166  0.6957  5 O 1.85-2.00
Nb  0.3150  0.2166  0.6957  5 O 1.85-2.00
Nb  0.6193  0.2834  0.3043  5 O 1.85-2.00
O  0.9032  0.6399  0.2653  1 Nb 2.00
O  0.6379  0.8601  0.7347  1 Nb 2.00
O  0.0968  0.3601  0.7347  1 Nb 2.00
O  0.3621  0.1399  0.2653  1 Nb 2.00
O  0.8626  0.3773  0.2708  1 Nb 1.97
O  0.5918  0.1227  0.7292  1 Nb 1.97
O  0.1374  0.6227  0.7292  1 Nb 1.97
O  0.4082  0.8773  0.2708  1 Nb 1.97
O  0.1746  0.8609  0.7375  1 Nb 1.96
O  0.4370  0.6391  0.2625  1 Nb 1.96
O  0.8254  0.1391  0.2625  1 Nb 1.96
O  0.5630  0.3609  0.7375  1 Nb 1.96
O  0.7995  0.8772  0.4732  1 Nb 1.85
O  0.3263  0.6228  0.5268  1 Nb 1.85
O  0.2005  0.1228  0.5268  1 Nb 1.85
O  0.6737  0.3772  0.4732  1 Nb 1.85
O  0.2425  0.7500  0.0000  4 Nd 2.39-2.42
O  0.7575  0.2500  0.0000  4 Nd 2.39-2.42
O  0.3721  0.3421  0.2058  1 Nb 1.97
O  0.1664  0.1579  0.7942  1 Nb 1.97
O  0.6279  0.6579  0.7942  1 Nb 1.97
O  0.8336  0.8421  0.2058  1 Nb 1.97
O  0.7505  0.5232  0.9978  4 Nd 2.38-2.39
O  0.7527  0.9768  0.0022  4 Nd 2.38-2.39
O  0.2495  0.4768  0.0022  4 Nd 2.38-2.39
O  0.2473  0.0232  0.9978  4 Nd 2.38-2.39

---

[3]
Below is an optimized crystal structure of MgPd2Br, with properties calculated at the GGA-PBEsol level.

Values from the calculation:
Magnetization: 0.00 μB/f.u.
SG: Fm-3m (225)
DOS(E_F): 0.9 states/eV per cell
Raw formation energy: -161.2 meV/atom
Theoretical density: 7.8 Mg/m³

a = 4.5676 Å, b = 4.5676 Å, c = 4.5676 Å
α = 60.00°, β = 60.00°, γ = 60.00°
Closest atoms and distances in Å follow each position.
Fractional positions:
Mg  0.0000  0.0000  0.0000  8 Pd 2.80
Br  0.5000  0.5000  0.5000  8 Pd 2.80
Pd  0.2500  0.2500  0.2500  4 Mg 2.80, 4 Br 2.80
Pd  0.7500  0.7500  0.7500  4 Mg 2.80, 4 Br 2.80

---

[4]
Below is an optimized crystal structure of NaAlIr2, with properties calculated at the GGA-PBEsol level.

Values from the calculation:
Magnetization: 0.00 μB/f.u.
SG: I-42d (122)
DOS(E_F): 6.2 states/eV per cell
Energy of formation: 0.52 eV per atom
Theoretical density: 8.4 Mg/m³

a = 4.4448 Å, b = 4.4448 Å, c = 9.2343 Å
α = 103.93°, β = 103.93°, γ = 90.00°
Closest atoms and distances in Å follow each position.
Fractional positions:
Na  0.7500  0.2500  0.5000  4 Ir 3.03, 4 Al 3.14
Na  0.5000  0.5000  0.0000  4 Ir 3.03, 4 Al 3.14
Ir  0.2211  0.8750  0.2500  2 Ir 2.38, 2 Al 2.48
Ir  0.0289  0.3750  0.2500  2 Ir 2.38, 2 Al 2.48
Ir  0.1250  0.9711  0.7500  2 Ir 2.38, 2 Al 2.48
Ir  0.6250  0.7789  0.7500  2 Ir 2.38, 2 Al 2.48
Al  0.2500  0.7500  0.5000  4 Ir 2.48
Al  0.0000  0.0000  0.0000  4 Ir 2.48

---

[5]
Below is an optimized crystal structure of InAu5, with properties calculated at the GGA-PBEsol level.

Values from the calculation:
Magnetization: 0.00 μB/f.u.
SG: P4/mmm (123)
DOS(E_F): 2.1 states/eV per cell
Energy of formation: -0.05 eV per atom
Theoretical density: 17.0 Mg/m³

a = 3.5815 Å, b = 3.5815 Å, c = 8.3581 Å
α = 90.00°, β = 90.00°, γ = 90.00°
Closest atoms and distances in Å follow each position.
Fractional positions:
Au  0.0000  0.0000  0.8308  6 Au 2.76-2.89, 4 In 2.90
Au  0.0000  0.0000  0.1692  6 Au 2.76-2.89, 4 In 2.90
Au  0.5000  0.5000  0.6651  9 Au 2.76-2.89, 1 In 2.80
Au  0.5000  0.5000  0.3349  9 Au 2.76-2.89, 1 In 2.80
Au  0.0000  0.0000  0.5000  10 Au 2.76-2.88
In  0.5000  0.5000  0.0000  10 Au 2.80-2.90

---

[6]
Below is an optimized crystal structure of ThAl4C4, with properties calculated at the GGA-PBEsol level.

Values from the calculation:
Magnetization: 0.00 μB/f.u.
SG: I4/m (87)
DOS(E_F): 1.0 states/eV per cell
Energy of formation: -0.22 eV per atom
Theoretical density: 5.8 Mg/m³

a = 3.3222 Å, b = 6.0270 Å, c = 6.0270 Å
α = 85.64°, β = 74.00°, γ = 74.00°
Closest atoms and distances in Å follow each position.
Fractional positions:
C  0.2495  0.1617  0.3394  4 Al 1.98-2.11
C  0.7505  0.8383  0.6606  4 Al 1.98-2.11
C  0.4112  0.3394  0.8383  4 Al 1.98-2.11
C  0.5888  0.6606  0.1617  4 Al 1.98-2.11
Al  0.6415  0.1800  0.5369  4 C 1.98-2.11
Al  0.3585  0.8200  0.4631  4 C 1.98-2.11
Al  0.8216  0.5369  0.8200  4 C 1.98-2.11
Al  0.1784  0.4631  0.1800  4 C 1.98-2.11
Th  0.0000  0.0000  0.0000  8 C 2.74

---

[7]
Below is an optimized crystal structure of NaSi2Pd3, with properties calculated at the GGA-PBEsol level.

Values from the calculation:
Magnetization: 0.00 μB/f.u.
SG: Imm2 (44)
DOS(E_F): 2.6 states/eV per cell
Raw formation energy: -654.1 meV/atom
Theoretical density: 6.8 Mg/m³

a = 5.6822 Å, b = 6.6238 Å, c = 6.6238 Å
α = 63.91°, β = 64.60°, γ = 64.60°
Closest atoms and distances in Å follow each position.
Fractional positions:
Na  0.4552  0.5000  0.5000  6 Pd 3.05-3.26, 6 Si 3.08-3.29
Na  0.5167  0.0000  0.0000  8 Pd 3.09-3.30, 4 Si 3.13-3.38
Si  0.2632  0.8097  0.8097  6 Pd 2.39-2.42, 1 Si 2.57
Si  0.0942  0.3459  0.3459  6 Pd 2.43-2.54, 1 Si 2.57
Si  0.8826  0.1903  0.1903  6 Pd 2.39-2.42, 1 Si 2.57
Si  0.7859  0.6541  0.6541  6 Pd 2.43-2.54, 1 Si 2.57
Pd  0.4967  0.4503  0.0480  4 Si 2.39-2.54
Pd  0.4967  0.0480  0.4503  4 Si 2.39-2.54
Pd  0.9950  0.5497  0.9520  4 Si 2.39-2.54
Pd  0.0009  0.2162  0.7838  4 Si 2.42-2.51
Pd  0.0009  0.7838  0.2162  4 Si 2.42-2.51
Pd  0.9950  0.9520  0.5497  4 Si 2.39-2.54

---

[8]
Below is an optimized crystal structure of Ba2HgMo, with properties calculated at the GGA-PBEsol level.

Values from the calculation:
Magnetization: 2.59 μB/f.u.
SG: P4/mmm (123)
DOS(E_F): 3.9 states/eV per cell
Energy of formation: 0.62 eV per atom
Theoretical density: 7.6 Mg/m³

a = 3.8573 Å, b = 3.8573 Å, c = 8.4329 Å
α = 90.00°, β = 90.00°, γ = 90.00°
Closest atoms and distances in Å follow each position.
Fractional positions:
Ba  0.0000  0.0000  0.7398  4 Mo 3.40, 4 Hg 3.50
Ba  0.0000  0.0000  0.2602  4 Mo 3.40, 4 Hg 3.50
Hg  0.5000  0.5000  0.0000  8 Ba 3.50, 4 Hg 3.86
Mo  0.5000  0.5000  0.5000  8 Ba 3.40

---

[9]
Below is an optimized crystal structure of CoIBr2, with properties calculated at the GGA-PBEsol level.

Values from the calculation:
Magnetization: 2.44 μB/f.u.
SG: I-42d (122)
DOS(E_F): 14.3 states/eV per cell
Raw formation energy: 163.0 meV/atom
Theoretical density: 4.9 Mg/m³

a = 6.8397 Å, b = 6.8397 Å, c = 6.8397 Å
α = 95.89°, β = 116.66°, γ = 116.66°
Closest atoms and distances in Å follow each position.
Fractional positions:
I  0.0000  0.0000  0.0000  4 Br 3.41
I  0.5000  0.7500  0.2500  4 Br 3.41
Co  0.0000  0.5000  0.5000  4 Br 2.32
Co  0.5000  0.2500  0.7500  4 Br 2.32
Br  0.8785  0.5035  0.1250  2 Co 2.32
Br  0.1215  0.2465  0.6250  2 Co 2.32
Br  0.6215  0.3750  0.4965  2 Co 2.32
Br  0.3785  0.8750  0.7535  2 Co 2.32

---

[10]
Below is an optimized crystal structure of Nb3PtF, with properties calculated at the GGA-PBEsol level.

Values from the calculation:
Magnetization: 0.00 μB/f.u.
SG: Pm-3m (221)
DOS(E_F): 4.3 states/eV per cell
Raw formation energy: 1175.6 meV/atom
Theoretical density: 7.0 Mg/m³

a = 4.8823 Å, b = 4.8823 Å, c = 4.8823 Å
α = 90.00°, β = 90.00°, γ = 90.00°
Closest atoms and distances in Å follow each position.
Fractional positions:
Nb  0.0000  0.5000  0.0000  2 Pt 2.44
Nb  0.0000  0.0000  0.5000  2 Pt 2.44
Nb  0.5000  0.0000  0.0000  2 Pt 2.44
Pt  0.0000  0.0000  0.0000  6 Nb 2.44
F  0.5000  0.5000  0.5000  12 Nb 3.45

---

[11]
Below is an optimized crystal structure of CuAgOs2, with properties calculated at the GGA-PBEsol level.

Values from the calculation:
Magnetization: 0.00 μB/f.u.
SG: I4/mmm (139)
DOS(E_F): 4.8 states/eV per cell
Offset from the most stable computed form: 0.2782 eV per atom
Energy of formation: 0.77 eV per atom
Theoretical density: 16.2 Mg/m³

a = 3.6632 Å, b = 3.6632 Å, c = 4.9450 Å
α = 111.74°, β = 111.74°, γ = 90.00°
Closest atoms and distances in Å follow each position.
Fractional positions:
Ag  0.5000  0.5000  0.0000  4 Cu 2.59, 8 Os 2.79
Cu  0.0000  0.0000  0.0000  4 Ag 2.59, 8 Os 2.79
Os  0.7500  0.2500  0.5000  4 Os 2.59, 4 Cu 2.79, 4 Ag 2.79
Os  0.2500  0.7500  0.5000  4 Os 2.59, 4 Cu 2.79, 4 Ag 2.79

---

[12]
Below is an optimized crystal structure of V2O3F3, with properties calculated at the GGA-PBEsol level.

Values from the calculation:
Magnetization: 0.87 μB/f.u.
SG: C2 (5)
DOS(E_F): 5.7 states/eV per cell
Offset from the most stable computed form: 0.0349 eV per atom
Raw formation energy: -2545.6 meV/atom
Theoretical density: 3.5 Mg/m³

a = 5.1297 Å, b = 5.1297 Å, c = 8.8618 Å
α = 76.59°, β = 76.59°, γ = 61.99°
Closest atoms and distances in Å follow each position.
Fractional positions:
V  0.7808  0.9805  0.3664  3 O 1.74-1.79, 2 F 1.87-1.93
V  0.0195  0.2192  0.6336  3 O 1.74-1.79, 2 F 1.87-1.93
V  0.2385  0.5319  0.8677  3 O 1.75-1.79, 2 F 1.88-1.92
V  0.4681  0.7615  0.1323  3 O 1.75-1.79, 2 F 1.88-1.92
O  0.9239  0.0761  0.5000  2 V 1.79
O  0.4306  0.5694  0.0000  2 V 1.79
O  0.0735  0.4272  0.7504  2 V 1.78-1.79
O  0.5728  0.9265  0.2496  2 V 1.78-1.79
O  0.1607  0.8833  0.7577  2 V 1.74-1.75
O  0.1167  0.8393  0.2423  2 V 1.74-1.75
F  0.6167  0.3367  0.7416  2 V 1.92-1.93
F  0.6633  0.3833  0.2584  2 V 1.92-1.93
F  0.3834  0.1645  0.5081  2 V 1.87-2.04
F  0.3323  0.1164  0.9914  2 V 1.88-2.04
F  0.8355  0.6166  0.4919  2 V 1.87-2.04
F  0.8836  0.6677  0.0086  2 V 1.88-2.04

---

Q: Which of these has the highest magnetization?
A: Ba2HgMo

---

Q: Which value of DOS(E_F) does entry 8 give?
A: 3.9 states/eV per cell

---

Q: Among the records above, which one has the highest DOS(E_F)?
A: CoIBr2